(1)
## Tb2Pr4Ho (GGA-PBE)

Data for a relaxed structure of Tb2Pr4Ho.

```
Tb2Pr4Ho
1.0
0.000 12.238 3.260
6.058 0.000 3.260
6.058 12.238 0.000
Tb Pr Ho
4 8 2
Direct
0.261 0.739 0.308
0.558 0.942 0.511
0.739 0.261 0.692
0.942 0.558 0.989
0.196 0.349 0.016
0.234 0.811 0.054
0.349 0.196 0.439
0.431 0.674 0.428
0.674 0.431 0.466
0.784 0.822 0.576
0.811 0.234 0.901
0.822 0.784 0.819
0.056 0.056 0.944
0.306 0.306 0.194
```

- SG = Fdd2
- E_form (eV/atom) = 0.0620

=====

(2)
## TbPr2Ho8 (GGA-PBE)

Data for a relaxed structure of TbPr2Ho8.

```
TbPr2Ho8
1.0
6.167 0.000 0.000
-1.023 6.086 0.000
-1.038 -0.183 9.369
Tb Pr Ho
1 2 8
Direct
0.000 0.000 0.000
0.362 0.726 0.454
0.638 0.274 0.546
0.088 0.181 0.361
0.183 0.362 0.731
0.273 0.546 0.090
0.456 0.907 0.821
0.544 0.093 0.179
0.727 0.454 0.910
0.817 0.638 0.269
0.912 0.819 0.639
```

- SG = P-1
- E_form (eV/atom) = 0.0217

=====

(3)
## Tb3PrHo7 (GGA-PBE)

Data for a relaxed structure of Tb3PrHo7.

```
Tb3PrHo7
1.0
7.042 0.000 0.000
-3.521 6.099 0.000
0.000 0.000 8.609
Tb Pr Ho
3 1 7
Direct
0.167 0.335 0.000
0.167 0.833 0.000
0.665 0.833 0.000
0.000 0.000 0.662
0.002 0.501 0.663
0.332 0.166 0.332
0.333 0.667 0.335
0.499 0.501 0.663
0.499 0.998 0.663
0.834 0.166 0.332
0.834 0.668 0.332
```

- SG = P3m1
- E_form (eV/atom) = 0.1940

=====

(4)
## Tb12Pr2Ho5 (GGA-PBE)

Data for a relaxed structure of Tb12Pr2Ho5.

```
Tb12Pr2Ho5
1.0
7.906 -4.619 0.000
7.906 4.619 0.000
-0.143 0.000 8.560
Tb Pr Ho
12 2 5
Direct
0.059 0.059 0.331
0.066 0.682 0.347
0.162 0.524 0.756
0.318 0.934 0.653
0.406 0.406 0.117
0.476 0.838 0.244
0.524 0.162 0.756
0.594 0.594 0.883
0.682 0.066 0.347
0.838 0.476 0.244
0.934 0.318 0.653
0.941 0.941 0.669
0.184 0.816 0.000
0.816 0.184 0.000
0.197 0.197 0.010
0.269 0.269 0.425
0.500 0.500 0.500
0.731 0.731 0.575
0.803 0.803 0.990
```

- SG = C2/m
- E_form (eV/atom) = 0.1344

=====

(5)
## TbPr4Ho3 (GGA-PBE)

Data for a relaxed structure of TbPr4Ho3.

```
TbPr4Ho3
1.0
11.674 0.000 0.000
0.000 7.359 0.000
0.000 0.000 6.327
Tb Pr Ho
2 8 6
Direct
0.000 0.121 0.000
0.500 0.879 0.500
0.000 0.370 0.499
0.000 0.629 0.994
0.248 0.629 0.335
0.252 0.371 0.835
0.500 0.371 0.494
0.500 0.630 0.999
0.748 0.371 0.835
0.752 0.629 0.335
0.000 0.881 0.499
0.250 0.120 0.332
0.250 0.880 0.832
0.500 0.119 0.999
0.750 0.120 0.332
0.750 0.880 0.832
```

- SG = Pmn2_1
- E_form (eV/atom) = 0.0313

=====

(6)
## TbPr5Ho2 (GGA-PBE)

Data for a relaxed structure of TbPr5Ho2.

```
TbPr5Ho2
1.0
-4.655 4.655 6.404
4.655 -4.655 6.404
4.655 4.655 -6.404
Tb Pr Ho
2 10 4
Direct
0.250 0.250 0.000
0.750 0.750 0.000
0.000 0.000 0.000
0.014 0.514 0.200
0.187 0.986 0.500
0.313 0.813 0.800
0.486 0.687 0.500
0.500 0.500 0.000
0.514 0.313 0.500
0.687 0.187 0.200
0.813 0.014 0.500
0.986 0.486 0.800
0.146 0.354 0.500
0.354 0.854 0.208
0.646 0.146 0.792
0.854 0.646 0.500
```

- SG = I4/mcm
- E_form (eV/atom) = 0.1171

=====

(7)
## Tb2Pr5Ho2 (GGA-PBE)

Data for a relaxed structure of Tb2Pr5Ho2.

```
Tb2Pr5Ho2
1.0
-7.630 6.493 3.134
7.630 -6.493 3.134
7.630 6.493 -3.134
Tb Pr Ho
4 10 4
Direct
0.000 0.000 0.000
0.000 0.500 0.500
0.808 0.615 0.693
0.922 0.115 0.307
0.116 0.575 0.828
0.116 0.788 0.040
0.166 0.091 0.575
0.388 0.135 0.350
0.388 0.537 0.753
0.516 0.591 0.425
0.747 0.075 0.960
0.747 0.288 0.172
0.785 0.037 0.650
0.785 0.635 0.247
0.385 0.571 0.085
0.385 0.800 0.314
0.486 0.071 0.686
0.486 0.300 0.915
```

- SG = Ima2
- E_form (eV/atom) = 0.1676

=====

(8)
## Tb7Pr2Ho (GGA-PBE)

Data for a relaxed structure of Tb7Pr2Ho.

```
Tb7Pr2Ho
1.0
6.211 0.000 0.000
2.067 6.863 0.000
2.085 1.229 7.656
Tb Pr Ho
7 2 1
Direct
0.000 0.000 0.000
0.200 0.800 0.602
0.398 0.101 0.197
0.400 0.601 0.198
0.600 0.399 0.802
0.602 0.899 0.803
0.800 0.200 0.398
0.201 0.299 0.602
0.799 0.701 0.398
0.000 0.500 0.000
```

- SG = P-1
- E_form (eV/atom) = 0.0166

=====

(9)
## TbPr7Ho3 (GGA-PBE)

Data for a relaxed structure of TbPr7Ho3.

```
TbPr7Ho3
1.0
6.437 -5.747 0.000
6.437 5.747 0.000
-2.751 0.000 5.280
Tb Pr Ho
1 7 3
Direct
0.000 0.000 0.000
0.000 0.000 0.500
0.097 0.518 0.808
0.291 0.291 0.292
0.482 0.903 0.192
0.518 0.097 0.808
0.709 0.709 0.708
0.903 0.482 0.192
0.296 0.704 0.500
0.500 0.500 0.000
0.704 0.296 0.500
```

- SG = C2/m
- E_form (eV/atom) = 0.2193

=====

(10)
## TbPr12Ho6 (GGA-PBE)

Data for a relaxed structure of TbPr12Ho6.

```
TbPr12Ho6
1.0
7.943 4.586 2.983
-7.943 4.586 2.983
0.000 -9.172 2.983
Tb Pr Ho
1 12 6
Direct
0.000 0.000 0.000
0.057 0.580 0.372
0.104 0.157 0.737
0.157 0.737 0.104
0.263 0.896 0.843
0.372 0.057 0.580
0.420 0.628 0.943
0.580 0.372 0.057
0.628 0.943 0.420
0.737 0.104 0.157
0.843 0.263 0.896
0.896 0.843 0.263
0.943 0.420 0.628
0.214 0.318 0.472
0.318 0.472 0.214
0.472 0.214 0.318
0.528 0.786 0.682
0.682 0.528 0.786
0.786 0.682 0.528
```

- SG = R-3
- E_form (eV/atom) = 0.0173

=====

(11)
## Tb4Pr15Ho (GGA-PBE)

Data for a relaxed structure of Tb4Pr15Ho.

```
Tb4Pr15Ho
1.0
5.206 0.000 0.000
0.000 5.206 0.000
0.000 0.000 25.894
Tb Pr Ho
4 15 1
Direct
0.000 0.000 0.100
0.000 0.000 0.300
0.000 0.000 0.700
0.000 0.000 0.900
0.000 0.500 0.000
0.000 0.500 0.200
0.000 0.500 0.400
0.000 0.500 0.600
0.000 0.500 0.800
0.500 0.000 0.000
0.500 0.000 0.200
0.500 0.000 0.400
0.500 0.000 0.600
0.500 0.000 0.800
0.500 0.500 0.100
0.500 0.500 0.300
0.500 0.500 0.500
0.500 0.500 0.700
0.500 0.500 0.900
0.000 0.000 0.500
```

- SG = P4/mmm
- E_form (eV/atom) = 0.0108

=====

(12)
## TbPr15Ho4 (GGA-PBE)

Data for a relaxed structure of TbPr15Ho4.

```
TbPr15Ho4
1.0
5.196 0.000 0.000
0.000 5.196 0.000
0.000 0.000 25.844
Tb Pr Ho
1 15 4
Direct
0.000 0.000 0.000
0.000 0.500 0.100
0.000 0.500 0.300
0.000 0.500 0.500
0.000 0.500 0.700
0.000 0.500 0.900
0.500 0.000 0.100
0.500 0.000 0.300
0.500 0.000 0.500
0.500 0.000 0.700
0.500 0.000 0.900
0.500 0.500 0.000
0.500 0.500 0.200
0.500 0.500 0.400
0.500 0.500 0.600
0.500 0.500 0.800
0.000 0.000 0.200
0.000 0.000 0.400
0.000 0.000 0.600
0.000 0.000 0.800
```

- SG = P4/mmm
- E_form (eV/atom) = 0.0099

=====

Question: What is the E_form in the first record?
Answer: 0.0620 eV/atom

=====

Question: Which of these has the highest E_form?
Answer: TbPr7Ho3